1.
Here is a relaxed ErHf3Co2 crystal from Alexandria. Energies are from PBE.

```
ErHf3Co2
1.0
4.6288 0.0000 0.0000
-2.3144 7.7634 -0.1697
0.0000 -3.7033 6.5938
Er Hf Co
2 6 4
Direct
0.8546 0.7091 0.9385 Er
0.1454 0.2909 0.0615 Er
0.3075 0.6149 0.5989 Hf
0.9426 0.8852 0.6134 Hf
0.6040 0.2081 0.7045 Hf
0.3960 0.7919 0.2955 Hf
0.0574 0.1148 0.3866 Hf
0.6925 0.3851 0.4011 Hf
0.4863 0.9726 0.8382 Co
0.5137 0.0274 0.1618 Co
0.8019 0.6037 0.2418 Co
0.1981 0.3963 0.7582 Co
```

## Properties
- Calculated formation energy: -0.17 eV per atom
- SG: C2/m
- DOS(E_F): 4.89 states/eV/f.u.
- E_tot: -8.27 eV/atom

=====

2.
Here is a relaxed ErHfCoIr crystal from Alexandria. Energies are from PBE.

```
ErHfCoIr
1.0
4.6611 0.0000 0.0000
2.3305 4.0366 0.0000
2.3305 1.3455 3.8058
Co Ir Hf Er
1 1 1 1
Direct
0.0000 0.0000 0.0000 Co
0.5000 0.5000 0.5000 Ir
0.7500 0.7500 0.7500 Hf
0.2500 0.2500 0.2500 Er
```

## Properties
- Calculated formation energy: -0.60 eV per atom
- SG: F-43m
- DOS(E_F): 2.44 states/eV/f.u.
- E_tot: -8.22 eV/atom

=====

3.
Here is a relaxed ErHfCoNi crystal from Alexandria. Energies are from PBE.

```
ErHfCoNi
1.0
-0.8751 4.4902 -0.2745
-3.6743 1.4819 -2.3038
-3.5609 1.7834 2.2678
Ni Co Hf Er
1 1 1 1
Direct
0.5000 0.5000 0.5000 Ni
0.0000 0.0000 0.0000 Co
0.2500 0.2500 0.2500 Hf
0.7500 0.7500 0.7500 Er
```

## Properties
- Calculated formation energy: -0.32 eV per atom
- SG: F-43m
- DOS(E_F): 3.20 states/eV/f.u.
- E_tot: -7.17 eV/atom

=====

4.
Here is a relaxed ErHfCoOs crystal from Alexandria. Energies are from PBE.

```
ErHfCoOs
1.0
4.6328 0.0000 0.0000
2.3164 4.0121 0.0000
2.3164 1.3374 3.7827
Hf Co Os Er
1 1 1 1
Direct
0.7500 0.7500 0.7500 Hf
0.0000 0.0000 0.0000 Co
0.5000 0.5000 0.5000 Os
0.2500 0.2500 0.2500 Er
```

## Properties
- Calculated formation energy: -0.37 eV per atom
- SG: F-43m
- DOS(E_F): 2.23 states/eV/f.u.
- E_tot: -8.58 eV/atom

=====

5.
Here is a relaxed ErHfCoPd crystal from Alexandria. Energies are from PBE.

```
ErHfCoPd
1.0
-3.4682 1.7466 -2.6380
-4.4145 -0.0460 1.5963
-2.0920 4.0175 1.2333
Co Hf Pd Er
1 1 1 1
Direct
0.5000 0.5000 0.5000 Co
0.7500 0.7500 0.7500 Hf
0.0000 0.0000 0.0000 Pd
0.2500 0.2500 0.2500 Er
```

## Properties
- Calculated formation energy: -0.46 eV per atom
- SG: F-43m
- DOS(E_F): 2.33 states/eV/f.u.
- E_tot: -7.17 eV/atom

=====

6.
Here is a relaxed ErHfCoRh crystal from Alexandria. Energies are from PBE.

```
ErHfCoRh
1.0
-2.1766 -0.5939 -4.0553
0.7578 -3.8353 -2.5003
-3.3311 -3.2064 -0.3977
Rh Co Hf Er
1 1 1 1
Direct
0.0000 0.0000 0.0000 Rh
0.5000 0.5000 0.5000 Co
0.2500 0.2500 0.2500 Hf
0.7500 0.7500 0.7500 Er
```

## Properties
- Calculated formation energy: -0.55 eV per atom
- SG: F-43m
- DOS(E_F): 2.00 states/eV/f.u.
- E_tot: -7.80 eV/atom

=====

7.
Here is a relaxed ErHfCoRu crystal from Alexandria. Energies are from PBE.

```
ErHfCoRu
1.0
4.6206 0.0000 0.0000
2.3103 4.0016 0.0000
2.3103 1.3339 3.7727
Ru Co Hf Er
1 1 1 1
Direct
0.7500 0.7500 0.7500 Ru
0.2500 0.2500 0.2500 Co
0.0000 0.0000 0.0000 Hf
0.5000 0.5000 0.5000 Er
```

## Properties
- Calculated formation energy: -0.43 eV per atom
- SG: F-43m
- DOS(E_F): 2.37 states/eV/f.u.
- E_tot: -8.16 eV/atom

=====

8.
Here is a relaxed ErHfZnCo crystal from Alexandria. Energies are from PBE.

```
ErHfZnCo
1.0
4.6935 0.0000 0.0000
2.3468 4.0647 0.0000
2.3468 1.3549 3.8323
Co Zn Hf Er
1 1 1 1
Direct
0.5000 0.5000 0.5000 Co
0.0000 0.0000 0.0000 Zn
0.7500 0.7500 0.7500 Hf
0.2500 0.2500 0.2500 Er
```

## Properties
- Calculated formation energy: -0.19 eV per atom
- SG: F-43m
- DOS(E_F): 3.42 states/eV/f.u.
- E_tot: -5.91 eV/atom

=====

9.
Here is a relaxed Er5CoHg crystal from Alexandria. Energies are from PBE.

```
Er5CoHg
1.0
-1.4408 3.0067 -4.8361
-5.8684 -0.1281 -0.2212
-3.0796 10.3787 4.0954
Er Co Hg
10 2 2
Direct
0.9218 0.5931 0.1254 Er
0.2072 0.5560 0.5642 Er
0.5931 0.9218 0.6254 Er
0.0022 0.9978 0.2500 Er
0.4440 0.7928 0.9358 Er
0.5560 0.2072 0.0642 Er
0.9978 0.0022 0.7500 Er
0.4069 0.0782 0.3746 Er
0.7928 0.4440 0.4358 Er
0.0782 0.4069 0.8746 Er
0.0000 0.0000 0.0000 Co
0.0000 0.0000 0.5000 Co
0.4185 0.5815 0.2500 Hg
0.5815 0.4185 0.7500 Hg
```

## Properties
- Calculated formation energy: -0.11 eV per atom
- SG: C2/c
- DOS(E_F): 7.26 states/eV/f.u.
- E_tot: -4.42 eV/atom

=====

10.
Here is a relaxed ErCoHg crystal from Alexandria. Energies are from PBE.

```
ErCoHg
1.0
3.8192 0.0000 0.0000
0.0000 3.7688 -0.8742
0.0000 -0.0297 8.4327
Er Co Hg
2 2 2
Direct
0.2500 0.9059 0.8118 Er
0.7500 0.0941 0.1882 Er
0.2500 0.5351 0.0702 Co
0.7500 0.4649 0.9298 Co
0.7500 0.2991 0.5981 Hg
0.2500 0.7009 0.4019 Hg
```

## Properties
- Calculated formation energy: -0.35 eV per atom
- SG: Cmcm
- DOS(E_F): 2.25 states/eV/f.u.
- E_tot: -4.34 eV/atom

=====

11.
Here is a relaxed Er7Co2Hg crystal from Alexandria. Energies are from PBE.

```
Er7Co2Hg
1.0
4.8787 0.0000 0.0000
0.0000 7.9305 0.2556
0.0000 -3.2692 7.2299
Er Co Hg
7 2 1
Direct
0.0000 0.7041 0.2959 Er
0.0000 0.2959 0.7041 Er
0.5000 0.0523 0.3162 Er
0.5000 0.9477 0.6838 Er
0.5000 0.3162 0.0523 Er
0.5000 0.6838 0.9477 Er
0.5000 0.5000 0.5000 Er
0.5000 0.7039 0.2961 Co
0.5000 0.2961 0.7039 Co
0.0000 0.0000 0.0000 Hg
```

## Properties
- Calculated formation energy: -0.04 eV per atom
- SG: Cmmm
- DOS(E_F): 9.46 states/eV/f.u.
- E_tot: -4.68 eV/atom

=====

12.
Here is a relaxed Er5CoHg4 crystal from Alexandria. Energies are from PBE.

```
Er5CoHg4
1.0
-2.9906 -1.8988 -0.3149
1.2141 -2.3125 2.4138
-7.8754 10.1360 13.6717
Er Co Hg
5 1 4
Direct
0.5000 0.5000 0.0842 Er
0.5000 0.5000 0.2937 Er
0.5000 0.5000 0.5000 Er
0.5000 0.5000 0.7063 Er
0.5000 0.5000 0.9158 Er
0.0000 0.0000 0.0000 Co
0.0000 0.0000 0.1910 Hg
0.0000 0.0000 0.3971 Hg
0.0000 0.0000 0.6029 Hg
0.0000 0.0000 0.8090 Hg
```

## Properties
- Calculated formation energy: -0.41 eV per atom
- SG: P4/mmm
- DOS(E_F): 6.90 states/eV/f.u.
- E_tot: -3.52 eV/atom

=====

13.
Here is a relaxed Er4CoHg crystal from Alexandria. Energies are from PBE.

```
Er4CoHg
1.0
8.1157 0.0000 4.6856
2.7052 7.6515 4.6856
0.0000 0.0000 9.3711
Er Co Hg
16 4 4
Direct
0.4022 0.4022 0.4022 Er
0.7934 0.4022 0.4022 Er
0.4022 0.7934 0.4022 Er
0.4022 0.4022 0.7934 Er
0.5613 0.5613 0.9387 Er
0.9387 0.9387 0.5613 Er
0.5613 0.9387 0.5613 Er
0.9387 0.5613 0.9387 Er
0.9387 0.5613 0.5613 Er
0.5613 0.9387 0.9387 Er
0.1885 0.1885 0.8115 Er
0.8115 0.8115 0.1885 Er
0.1885 0.8115 0.1885 Er
0.8115 0.1885 0.8115 Er
0.8115 0.1885 0.1885 Er
0.1885 0.8115 0.8115 Er
0.6087 0.6087 0.6087 Co
0.1738 0.6087 0.6087 Co
0.6087 0.1738 0.6087 Co
0.6087 0.6087 0.1738 Co
0.1660 0.1660 0.1660 Hg
0.5021 0.1660 0.1660 Hg
0.1660 0.5021 0.1660 Hg
0.1660 0.1660 0.5021 Hg
```

## Properties
- Calculated formation energy: -0.31 eV per atom
- SG: F-43m
- DOS(E_F): 4.04 states/eV/f.u.
- E_tot: -4.59 eV/atom
- Relative energy among the computed polymorphs: 0.000 eV/atom

=====

14.
Here is a relaxed Er12Co6Hg crystal from Alexandria. Energies are from PBE.

```
Er12Co6Hg
1.0
8.2563 0.0000 0.0000
-2.7521 7.7841 0.0000
-2.7521 -3.8921 6.7412
Er Co Hg
12 6 1
Direct
0.3015 0.1077 0.8062 Er
0.3015 0.4953 0.1938 Er
0.6985 0.5047 0.8062 Er
0.6985 0.8923 0.1938 Er
0.1077 0.8062 0.3015 Er
0.4953 0.1938 0.3015 Er
0.5047 0.8062 0.6985 Er
0.8923 0.1938 0.6985 Er
0.8062 0.3015 0.1077 Er
0.1938 0.3015 0.4953 Er
0.8062 0.6985 0.5047 Er
0.1938 0.6985 0.8923 Er
0.3859 0.5000 0.8859 Co
0.6141 0.5000 0.1141 Co
0.5000 0.8859 0.3859 Co
0.5000 0.1141 0.6141 Co
0.8859 0.3859 0.5000 Co
0.1141 0.6141 0.5000 Co
0.0000 0.0000 0.0000 Hg
```

## Properties
- Calculated formation energy: -0.26 eV per atom
- SG: Im-3
- DOS(E_F): 15.48 states/eV/f.u.
- E_tot: -5.40 eV/atom

=====

15.
Here is a relaxed Er3CoHg crystal from Alexandria. Energies are from PBE.

```
Er3CoHg
1.0
5.0985 0.0000 0.0000
0.0000 5.0985 0.0000
0.0000 0.0000 5.0985
Co Hg Er
1 1 3
Direct
0.0000 0.0000 0.0000 Co
0.5000 0.5000 0.5000 Hg
0.0000 0.5000 0.0000 Er
0.0000 0.0000 0.5000 Er
0.5000 0.0000 0.0000 Er
```

## Properties
- Calculated formation energy: -0.16 eV per atom
- SG: Pm-3m
- DOS(E_F): 5.11 states/eV/f.u.
- E_tot: -4.37 eV/atom
- Relative energy among the computed polymorphs: 0.141 eV/atom

=====

16.
Here is a relaxed ErCoHg crystal from Alexandria. Energies are from PBE.

```
ErCoHg
1.0
3.8369 0.0000 0.0000
0.0000 5.0295 -0.0946
-1.9184 -1.2031 6.2636
Co Hg Er
2 2 2
Direct
0.7682 0.1210 0.5364 Co
0.2318 0.8790 0.4636 Co
0.5741 0.7808 0.1481 Hg
0.4259 0.2192 0.8519 Hg
0.8637 0.6744 0.7274 Er
0.1363 0.3256 0.2726 Er
```

## Properties
- Calculated formation energy: -0.24 eV per atom
- SG: C2/m
- DOS(E_F): 1.93 states/eV/f.u.
- E_tot: -4.23 eV/atom

=====

17.
Here is a relaxed Er5Co2Hg2 crystal from Alexandria. Energies are from PBE.

```
Er5Co2Hg2
1.0
-6.7979 -1.9097 1.4353
0.1579 -4.7262 -5.5406
-0.7463 -6.6741 5.6717
Er Co Hg
10 4 4
Direct
0.0000 0.0000 0.0000 Er
0.5000 0.5000 0.0000 Er
0.4391 0.1804 0.7583 Er
0.8026 0.8196 0.7583 Er
0.3026 0.6804 0.7583 Er
0.9391 0.3196 0.7583 Er
0.5609 0.8196 0.2417 Er
0.1974 0.1804 0.2417 Er
0.6974 0.3196 0.2417 Er
0.0609 0.6804 0.2417 Er
0.1096 0.3875 0.0000 Co
0.8904 0.6125 0.0000 Co
0.3904 0.8875 0.0000 Co
0.6096 0.1125 0.0000 Co
0.2207 0.0000 0.5586 Hg
0.7207 0.5000 0.5586 Hg
0.7793 0.0000 0.4414 Hg
0.2793 0.5000 0.4414 Hg
```

## Properties
- Calculated formation energy: -0.34 eV per atom
- SG: Cmce
- DOS(E_F): 6.76 states/eV/f.u.
- E_tot: -4.52 eV/atom

=====

18.
Here is a relaxed Er2CoHg crystal from Alexandria. Energies are from PBE.

```
Er2CoHg
1.0
-3.2935 0.4273 -0.7339
-0.7819 -2.6731 1.9523
-0.7273 4.5176 5.8943
Co Hg Er
1 1 2
Direct
0.5000 0.5000 0.0000 Co
0.5000 0.5000 0.5000 Hg
0.0000 0.0000 0.7836 Er
0.0000 0.0000 0.2164 Er
```

## Properties
- Calculated formation energy: -0.36 eV per atom
- SG: P4/mmm
- DOS(E_F): 1.95 states/eV/f.u.
- E_tot: -4.49 eV/atom
- Relative energy among the computed polymorphs: 0.000 eV/atom

=====

19.
Here is a relaxed Er4CoHg3 crystal from Alexandria. Energies are from PBE.

```
Er4CoHg3
1.0
3.5182 0.0000 0.0000
0.0000 3.5182 0.0000
0.0000 0.0000 15.1112
Co Hg Er
1 3 4
Direct
0.5000 0.5000 0.0000 Co
0.5000 0.5000 0.2404 Hg
0.5000 0.5000 0.5000 Hg
0.5000 0.5000 0.7596 Hg
0.0000 0.0000 0.8950 Er
0.0000 0.0000 0.1050 Er
0.0000 0.0000 0.3699 Er
0.0000 0.0000 0.6301 Er
```

## Properties
- Calculated formation energy: -0.40 eV per atom
- SG: P4/mmm
- DOS(E_F): 5.91 states/eV/f.u.
- E_tot: -3.68 eV/atom

=====

20.
Here is a relaxed Er4CoHg crystal from Alexandria. Energies are from PBE.

```
Er4CoHg
1.0
-6.2475 -1.2910 2.2342
0.8099 -6.6187 -1.5598
3.0043 -1.1362 6.3813
Er Co Hg
8 2 2
Direct
0.8825 0.6438 0.1914 Er
0.6175 0.1438 0.8086 Er
0.3154 0.3386 0.3620 Er
0.1846 0.8386 0.6380 Er
0.1175 0.3562 0.8086 Er
0.3825 0.8562 0.1914 Er
0.6846 0.6614 0.6380 Er
0.8154 0.1614 0.3620 Er
0.5000 0.0000 0.5000 Co
0.0000 0.5000 0.5000 Co
0.0000 0.0000 0.0000 Hg
0.5000 0.5000 0.0000 Hg
```

## Properties
- Calculated formation energy: -0.16 eV per atom
- SG: P2_1/c
- DOS(E_F): 6.27 states/eV/f.u.
- E_tot: -4.43 eV/atom
- Relative energy among the computed polymorphs: 0.158 eV/atom

=====

21.
Here is a relaxed Er8CoHg2 crystal from Alexandria. Energies are from PBE.

```
Er8CoHg2
1.0
-1.6691 3.8124 3.1732
-6.0924 -0.2804 -2.8677
0.9482 -7.4121 5.0882
Er Co Hg
8 1 2
Direct
0.4117 0.5791 0.8233 Er
0.6494 0.9545 0.2988 Er
0.8001 0.7028 0.6003 Er
0.9774 0.2136 0.9548 Er
0.1999 0.2972 0.3997 Er
0.3506 0.0455 0.7012 Er
0.5883 0.4209 0.1767 Er
0.0226 0.7864 0.0452 Er
0.5000 0.0000 0.0000 Co
0.8145 0.2808 0.6289 Hg
0.1855 0.7192 0.3711 Hg
```

## Properties
- Calculated formation energy: -0.21 eV per atom
- SG: C2/m
- DOS(E_F): 8.93 states/eV/f.u.
- E_tot: -4.23 eV/atom

=====

22.
Here is a relaxed Er12Co2Hg5 crystal from Alexandria. Energies are from PBE.

```
Er12Co2Hg5
1.0
7.4424 0.0000 0.0000
-3.7212 8.1678 0.0180
0.0000 -2.8552 9.0645
Er Co Hg
12 2 5
Direct
0.9989 0.9978 0.1798 Er
0.1022 0.6763 0.9159 Er
0.5741 0.6763 0.9159 Er
0.0992 0.7021 0.4281 Er
0.6029 0.7021 0.4281 Er
0.4990 0.9980 0.7694 Er
0.5010 0.0020 0.2306 Er
0.9008 0.2979 0.5719 Er
0.3971 0.2979 0.5719 Er
0.8978 0.3237 0.0841 Er
0.4259 0.3237 0.0841 Er
0.0011 0.0022 0.8202 Er
0.7100 0.0000 0.0000 Co
0.2900 0.0000 0.0000 Co
0.3024 0.6048 0.6394 Hg
0.3081 0.6162 0.1637 Hg
0.0000 0.0000 0.5000 Hg
0.6919 0.3838 0.8363 Hg
0.6976 0.3952 0.3606 Hg
```

## Properties
- Calculated formation energy: -0.15 eV per atom
- SG: C2/m
- DOS(E_F): 23.26 states/eV/f.u.
- E_tot: -3.86 eV/atom

=====

23.
Here is a relaxed Er12Co5Hg crystal from Alexandria. Energies are from PBE.

```
Er12Co5Hg
1.0
-6.0165 3.5792 -4.2066
-2.9912 -5.5919 5.1467
4.0210 5.4940 4.5114
Er Co Hg
12 5 1
Direct
0.5276 0.8156 0.7119 Er
0.4724 0.1844 0.2881 Er
0.8963 0.1844 0.7119 Er
0.1037 0.8156 0.2881 Er
0.6961 0.6844 0.3805 Er
0.3039 0.3156 0.6195 Er
0.3039 0.6844 0.9882 Er
0.6961 0.3156 0.0118 Er
0.8077 0.5939 0.7862 Er
0.1923 0.4061 0.2138 Er
0.1923 0.9785 0.7862 Er
0.8077 0.0215 0.2138 Er
0.6245 0.6245 0.0000 Co
0.3755 0.3755 0.0000 Co
0.5000 0.1136 0.6136 Co
0.5000 0.8864 0.3864 Co
0.0000 0.0000 0.0000 Co
0.0000 0.5000 0.5000 Hg
```

## Properties
- Calculated formation energy: -0.25 eV per atom
- SG: Immm
- DOS(E_F): 17.46 states/eV/f.u.
- E_tot: -5.29 eV/atom